Entry from the Alexandria database: a relaxed structure of YScInNi (PBE).

## Properties
The calculation puts the total energy at -5.65 eV per atom. For the total moment, the calculation gives 0.0 μB per cell. Its formation energy is -1.30 eV/f.u.

Cell: 4.958 4.958 4.958 Å, 60.00 60.00 60.00°
Sites, in units of the cell vectors:
Y  0.000  0.000  0.000
Sc  0.500  0.500  0.500
In  0.750  0.750  0.750
Ni  0.250  0.250  0.250